## YCr2Ni (SCAN)

Data for YCr2Ni at its PBEsol-relaxed geometry.

Summary:
polymorph energy (0 for the lowest one) = 0 meV/atom
formation energy = 205 kJ/mol of formula units
SG = P2/m (10)

a b c (Å): 3.0498 4.5332 4.5941
angles (deg): 90.00 101.13 90.00
With the nearest neighbours (Å) after each atom.
Positions (direct):
Y (0.0000, 0.0000, 0.0000)  2 Ni 2.50
Cr (0.3205, 0.5000, 0.6694)  2 Cr 2.07-2.25
Cr (0.6795, 0.5000, 0.3306)  2 Cr 2.07-2.25
Ni (0.5000, 0.0000, 0.5000)  4 Cr 2.49, 2 Y 2.50